Entry 1:
PmGaTe2O8: relaxed, GGA-PBE.

Lattice parameters (Å, degrees): 7.080 7.080 7.127 90.00 90.00 90.00
Space group I-4m2 (No. 119)
Unique sites:
1 Pm 0.000 0.000 0.000 [2 per cell]
2 Ga 0.000 0.500 0.750 [2 per cell]
3 Te 0.000 0.000 0.500 [2 per cell]
4 Te 0.000 0.500 0.250 [2 per cell]
5 O 0.000 0.215 0.697 [8 per cell]
6 O 0.000 0.312 0.075 [8 per cell]

Calculated volume (Å³/cell): 357.26
Final energy (eV for the cell shown): -140.752

Entry 2:
AcEuNi4: relaxed, GGA-PBE.

Lattice parameters (Å, degrees): 7.422 7.422 7.422 90.00 90.00 90.00
Space group F-43m (No. 216)
Unique sites:
1 Ac 0.000 0.000 0.000 [4 per cell]
2 Eu 0.250 0.250 0.750 [4 per cell]
3 Ni 0.124 0.124 0.376 [16 per cell]

Calculated volume (Å³/cell): 408.85
Final energy (eV for the cell shown): -154.572
Formation energy (eV/atom): -0.189

Entry 3:
Pm6Al3Hg: relaxed, GGA-PBE.

Lattice parameters (Å, degrees): 9.449 5.230 11.632 90.00 107.53 90.00
Space group P2_1/m (No. 11)
Unique sites:
1 Pm 0.044 0.250 0.414 [2 per cell]
2 Pm 0.157 0.750 0.177 [2 per cell]
3 Pm 0.237 0.250 0.994 [2 per cell]
4 Pm 0.327 0.750 0.798 [2 per cell]
5 Pm 0.375 0.250 0.350 [2 per cell]
6 Pm 0.396 0.250 0.625 [2 per cell]
7 Al 0.033 0.750 0.877 [2 per cell]
8 Al 0.114 0.250 0.713 [2 per cell]
9 Al 0.272 0.750 0.473 [2 per cell]
10 Hg 0.456 0.750 0.094 [2 per cell]

Calculated volume (Å³/cell): 548.18
Final energy (eV for the cell shown): -85.997
Formation energy (eV/atom): -0.297

Entry 4:
CsPd3Pb: relaxed, GGA-PBE.

Lattice parameters (Å, degrees): 5.293 5.293 5.293 90.00 90.00 90.00
Space group Pm-3m (No. 221)
Unique sites:
1 Cs 0.000 0.000 0.000 [1 per cell]
2 Pd 0.000 0.500 0.500 [3 per cell]
3 Pb 0.500 0.500 0.500 [1 per cell]

Polymorph energy (0 for the lowest one) (meV per atom): 0
Calculated volume (Å³/cell): 148.31
Final energy (eV for the cell shown): -18.470
Formation energy (eV/atom): 0.334

Entry 5:
SrCr2Re: relaxed, GGA-PBE.

Lattice parameters (Å, degrees): 6.016 8.736 2.640 90.00 109.46 90.00
Space group C2/m (No. 12)
Unique sites:
1 Sr 0.000 0.000 0.000 [2 per cell]
2 Cr 0.250 0.250 0.500 [4 per cell]
3 Re 0.000 0.500 0.000 [2 per cell]

Polymorph energy (0 for the lowest one) (meV per atom): 577
Calculated volume (Å³/cell): 130.82
Final energy (eV for the cell shown): -56.787
Formation energy (eV/atom): 1.246

Entry 6:
PrHo2Br: relaxed, GGA-PBE.

Lattice parameters (Å, degrees): 3.5013 3.5013 34.5285 90.00 90.00 120.00
Space group R-3m (No. 166, hexagonal axes)
Unique sites:
1 Pr 0.0000 0.0000 0.0000 [3 per cell]
2 Ho 0.0000 0.0000 0.0986 [6 per cell]
3 Br 0.0000 0.0000 0.5000 [3 per cell]

Calculated volume (Å³/cell): 366.58
Final energy (eV for the cell shown): -49.701

Entry 7:
SrInFe2: relaxed, GGA-PBE.

Lattice parameters (Å, degrees): 3.235 5.125 10.057 90.00 90.00 90.00
Space group Imm2 (No. 44)
Unique sites:
1 Sr 0.000 0.000 0.000 [2 per cell]
2 In 0.000 0.500 0.205 [2 per cell]
3 Fe 0.000 0.000 0.458 [2 per cell]
4 Fe 0.000 0.500 0.789 [2 per cell]

Calculated volume (Å³/cell): 166.75
Final energy (eV for the cell shown): -39.363
Formation energy (eV/atom): 0.416

Entry 8:
UPdPb2Se5: relaxed, GGA-PBE.

Lattice parameters (Å, degrees): 4.084 18.198 13.363 90.00 90.00 90.00
Space group Cmc2_1 (No. 36)
Unique sites:
1 U 0.000 0.211 0.000 [4 per cell]
2 Pd 0.000 0.417 0.427 [4 per cell]
3 Pb 0.000 0.101 0.267 [4 per cell]
4 Pb 0.000 0.103 0.624 [4 per cell]
5 Se 0.000 0.062 0.033 [4 per cell]
6 Se 0.000 0.272 0.642 [4 per cell]
7 Se 0.000 0.287 0.362 [4 per cell]
8 Se 0.000 0.362 0.971 [4 per cell]
9 Se 0.000 0.488 0.261 [4 per cell]

Calculated volume (Å³/cell): 993.07
Final energy (eV for the cell shown): -188.992

Entry 9:
LaSn2Rh2: relaxed, GGA-PBE.

Lattice parameters (Å, degrees): 7.876 7.876 3.380 90.00 90.00 90.00
Space group P4/mbm (No. 127)
Unique sites:
1 La 0.000 0.000 0.000 [2 per cell]
2 Sn 0.151 0.349 0.500 [4 per cell]
3 Rh 0.134 0.634 0.000 [4 per cell]

Calculated volume (Å³/cell): 209.66
Final energy (eV for the cell shown): -60.220
Formation energy (eV/atom): -0.495

Entry 10:
NdZrCuHg: relaxed, GGA-PBE.

Lattice parameters (Å, degrees): 7.163 7.163 7.163 90.00 90.00 90.00
Space group F-43m (No. 216)
Unique sites:
1 Nd 0.000 0.000 0.000 [4 per cell]
2 Zr 0.000 0.000 0.500 [4 per cell]
3 Cu 0.250 0.250 0.250 [4 per cell]
4 Hg 0.250 0.250 0.750 [4 per cell]

Calculated volume (Å³/cell): 367.57
Final energy (eV for the cell shown): -72.008
Formation energy (eV/atom): -0.072

Entry 11:
LaPmHf: relaxed, GGA-PBE.

Lattice parameters (Å, degrees): 3.404 3.404 15.672 90.00 90.00 90.00
Space group I4mm (No. 107)
Unique sites:
1 La 0.000 0.000 0.000 [2 per cell]
2 Pm 0.000 0.000 0.305 [2 per cell]
3 Hf 0.000 0.000 0.657 [2 per cell]

Calculated volume (Å³/cell): 181.62
Final energy (eV for the cell shown): -38.243
Formation energy (eV/atom): 0.170

Entry 12:
Ce2Th2Zn4Cd: relaxed, GGA-PBE.

Lattice parameters (Å, degrees): 6.475 6.475 10.269 90.00 90.00 90.00
Space group I4/mmm (No. 139)
Unique sites:
1 Ce 0.000 0.000 0.213 [4 per cell]
2 Th 0.000 0.500 0.250 [4 per cell]
3 Zn 0.217 0.217 0.000 [8 per cell]
4 Cd 0.000 0.000 0.500 [2 per cell]

Calculated volume (Å³/cell): 430.57
Final energy (eV for the cell shown): -64.162
Formation energy (eV/atom): 0.071